An optimized crystal structure of SrSmCdBi, computed with PBE.

```
data_SrSmCdBi
_symmetry_space_group_name_H-M 'F -4 3 m'
_symmetry_Int_Tables_number 216
_symmetry_space_group_name_Hall 'F -4 2 3'
_cell_length_a 7.9530
_cell_length_b 7.9530
_cell_length_c 7.9530
_cell_angle_alpha 90.00
_cell_angle_beta 90.00
_cell_angle_gamma 90.00
loop_
_atom_site_label
_atom_site_fract_x
_atom_site_fract_y
_atom_site_fract_z
_atom_site_occupancy
Sr1 0.0000 0.0000 0.0000 1
Sm1 0.0000 0.0000 0.5000 1
Cd1 0.2500 0.2500 0.2500 1
Bi1 0.2500 0.2500 0.7500 1
```

Values from the calculation:
As for the formation energy: -173 kJ/mol of formula units. The value obtained for the spin magnetization is 0.0001 μB/atom.